A relaxed BaZr2Sb crystal. Source: the Alexandria database, functional PBEsol.

## Properties
The energy relative to the elements, uncorrected is 0.77 eV/f.u.

Cell: 7.474 7.474 7.474 Å, 90.00 90.00 90.00°
Space group F-43m (No. 216)
Asymmetric unit:
Ba1 0.000 0.000 0.000 x4
Zr1 0.000 0.000 0.500 x4
Zr2 0.250 0.250 0.250 x4
Sb1 0.250 0.250 0.750 x4

A relaxed POsRu2 crystal. Source: the Alexandria database, functional PBEsol.

## Properties
As for the energy of formation from the pure elements: 298 meV per atom.

Cell: 2.792 4.349 4.362 Å, 90.00 90.00 90.00°
Space group Pmmm (No. 47)
Asymmetric unit:
P1 0.000 0.000 0.000 x1
Os1 0.500 0.500 0.000 x1
Ru1 0.000 0.500 0.500 x1
Ru2 0.500 0.000 0.500 x1

A relaxed Na3GdCl6 crystal. Source: the Alexandria database, functional PBEsol.

## Properties
The energy relative to the elements, uncorrected is -19.76 eV/f.u.

Cell: 7.0261 7.0261 18.6550 Å, 90.00 90.00 120.00°
Space group R-3 (No. 148, hexagonal axes)
Asymmetric unit:
Na1 0.0000 0.0000 0.0000 x3
Na2 0.0000 0.0000 0.3021 x6
Gd1 0.0000 0.0000 0.5000 x3
Cl1 0.0222 0.3088 0.5870 x18

A relaxed LiMg3Pt crystal. Source: the Alexandria database, functional PBEsol.

## Properties
The calculation puts the energy relative to the lowest polymorph listed for this composition at 0.0 kJ per mole of atoms. As for the energy of formation from the pure elements: -231 meV per atom.

Cell: 4.991 4.991 4.991 Å, 90.00 90.00 90.00°
Space group Pm-3m (No. 221)
Asymmetric unit:
Li1 0.000 0.000 0.000 x1
Mg1 0.000 0.500 0.500 x3
Pt1 0.500 0.500 0.500 x1

A relaxed Cd2In crystal. Source: the Alexandria database, functional PBEsol.

## Properties
As for the energy of formation from the pure elements: 21 meV per atom.

Cell: 10.415 3.096 8.877 Å, 90.00 111.22 90.00°
Space group C2/m (No. 12)
Asymmetric unit:
Cd1 0.009 0.000 0.241 x4
Cd2 0.165 0.500 0.073 x4
In1 0.164 0.500 0.593 x4

A relaxed K4SrOs crystal. Source: the Alexandria database, functional PBEsol.

## Properties
As for the energy of formation from the pure elements: 1242 meV per atom.

Cell: 9.580 9.580 9.580 Å, 90.00 90.00 90.00°
Space group F-43m (No. 216)
Asymmetric unit:
K1 0.122 0.122 0.378 x16
Sr1 0.000 0.000 0.000 x4
Os1 0.250 0.250 0.750 x4

A relaxed FeCo crystal. Source: the Alexandria database, functional PBEsol.

## Properties
As for the energy of formation from the pure elements: 33 meV per atom.

Cell: 2.426 4.624 6.073 Å, 77.78 82.14 79.40°
Space group P-1 (No. 2)
Asymmetric unit:
Fe1 0.000 0.000 0.000 x1
Fe2 0.166 0.170 0.333 x2
Co1 0.321 0.331 0.667 x2
Co2 0.500 0.500 0.000 x1

A relaxed CeCrS3 crystal. Source: the Alexandria database, functional PBEsol.

## Properties
The energy relative to the elements, uncorrected is -6.92 eV/f.u.

Cell: 7.612 3.708 12.681 Å, 90.00 90.00 90.00°
Space group Pnma (No. 62)
Asymmetric unit:
Ce1 0.089 0.250 0.172 x4
Cr1 0.164 0.750 0.447 x4
S1 0.015 0.750 0.608 x4
S2 0.160 0.750 0.006 x4
S3 0.190 0.250 0.784 x4

What total energy values result from the calculations? In sequence: -24.12; -37.16; -50.45; -15.24; -5.31; -11.14; -16.63; -36.91 eV per formula unit.
What size of the total moment values result from the calculations? In sequence: 0.020; 0.000; 20.503; 0.000; 0.000; 1.390; 12.821; 14.614 μB per cell.